w:
{
  "formula": "CoHg3N",
  "functional": "GGA-PBE",
  "state": "relaxed",
  "lattice_angstrom": [[-0.432, -0.287, 4.650], [-3.903, -2.529, -0.519], [2.545, -3.927, -0.005]],
  "species": ["N", "Co", "Hg", "Hg", "Hg"],
  "fractional_positions": [[0.000, 0.000, 0.000], [0.500, 0.500, 0.500], [0.500, 0.000, 0.000], [0.000, 0.500, 0.000], [0.000, 0.000, 0.500]],
  "spacegroup": "Pm-3m (221)",
  "total_magnetization_mub_per_fu": 1.9
}

---

x:
{
  "formula": "CoHg3N",
  "functional": "GGA-PBE",
  "state": "relaxed",
  "lattice_angstrom": [[4.974, 0.000, 0.000], [0.000, 4.974, 0.000], [0.000, 0.000, 4.974]],
  "species": ["N", "Hg", "Hg", "Hg", "Co"],
  "fractional_positions": [[0.500, 0.500, 0.500], [0.000, 0.000, 0.500], [0.000, 0.500, 0.000], [0.500, 0.000, 0.000], [0.000, 0.000, 0.000]],
  "spacegroup": "Pm-3m (221)",
  "total_magnetization_mub_per_fu": 1.1
}

---

Preferred: w; penalty for the next structure: 303 meV/atom.